Below is crystalline NiHF3 at its relaxed geometry, with properties calculated at the PBE+U level.

Cell and atoms, written as POSCAR:
```
NiHF3
1.0
3.856 0.000 0.000
0.000 3.856 0.000
0.000 0.000 3.856
Ni H F
1 1 3
Cartesian
0.000 0.000 0.000 Ni
1.928 1.928 1.928 H
0.000 0.000 1.928 F
0.000 1.928 0.000 F
1.928 0.000 0.000 F
```

Output
D(E_F), states/eV per atom: 0.649
Energy relative to the lowest polymorph listed for this composition, meV/atom: 630.5

=====

Below is crystalline NiHF at its relaxed geometry, with properties calculated at the PBE+U level.

Cell and atoms, written as POSCAR:
```
NiHF
1.0
5.049 0.000 0.000
0.000 5.480 0.000
0.000 0.000 4.582
Ni H F
4 4 4
Cartesian
1.260 1.370 1.148 Ni
1.265 4.110 3.439 Ni
3.784 1.370 1.143 Ni
3.790 4.110 3.434 Ni
0.004 4.110 2.340 H
2.521 1.370 0.049 H
2.529 4.110 4.533 H
5.046 1.370 2.242 H
0.000 0.000 0.000 F
0.000 2.740 0.000 F
2.525 0.000 2.291 F
2.525 2.740 2.291 F
```

Output
D(E_F), states/eV per atom: 0.000
Energy relative to the lowest polymorph listed for this composition, meV/atom: 120.4

=====

Below is crystalline NiHF at its relaxed geometry, with properties calculated at the PBE+U level.

Cell and atoms, written as POSCAR:
```
NiHF
1.0
2.879 0.000 0.000
-0.016 4.975 0.000
-0.001 -2.150 4.508
Ni H F
2 2 2
Cartesian
0.708 1.996 0.984 Ni
2.154 0.829 3.525 Ni
0.712 3.529 0.027 H
2.150 -0.704 4.481 H
0.708 0.315 2.172 F
2.154 2.510 2.336 F
```

Output
D(E_F), states/eV per atom: 0.000
Energy relative to the lowest polymorph listed for this composition, meV/atom: 25.6

=====

Below is crystalline NiHF at its relaxed geometry, with properties calculated at the PBE+U level.

Cell and atoms, written as POSCAR:
```
NiHF
1.0
2.937 0.000 0.000
1.361 2.741 0.000
0.241 0.273 7.261
Ni H F
2 2 2
Cartesian
0.000 0.000 0.000 Ni
1.599 1.103 1.831 Ni
1.427 0.933 0.165 H
3.085 0.661 4.411 H
1.535 2.813 5.245 F
3.056 1.261 3.210 F
```

Output
D(E_F), states/eV per atom: 0.000
Energy relative to the lowest polymorph listed for this composition, meV/atom: 96.4

=====

Below is crystalline NiHF at its relaxed geometry, with properties calculated at the PBE+U level.

Cell and atoms, written as POSCAR:
```
NiHF
1.0
2.896 0.000 0.000
1.445 2.567 0.000
1.431 0.226 7.100
Ni H F
2 2 2
Cartesian
1.439 0.551 2.596 Ni
4.333 2.241 4.505 Ni
0.000 0.000 0.000 H
2.886 1.396 3.550 H
2.884 2.315 6.059 F
2.888 0.478 1.041 F
```

Output
D(E_F), states/eV per atom: 0.000
Energy relative to the lowest polymorph listed for this composition, meV/atom: 73.3

=====

Below is crystalline Ni3HF at its relaxed geometry, with properties calculated at the PBE+U level.

Cell and atoms, written as POSCAR:
```
Ni3HF
1.0
3.594 0.000 0.000
0.000 3.594 0.000
0.000 0.000 3.594
Ni H F
3 1 1
Cartesian
0.000 0.000 1.797 Ni
0.000 1.797 0.000 Ni
1.797 0.000 0.000 Ni
0.000 0.000 0.000 H
1.797 1.797 1.797 F
```

Output
D(E_F), states/eV per atom: 0.749
Energy relative to the lowest polymorph listed for this composition, meV/atom: 0.0

=====

Below is crystalline Ni2H3F6 at its relaxed geometry, with properties calculated at the PBE+U level.

Cell and atoms, written as POSCAR:
```
Ni2H3F6
1.0
4.954 -2.790 0.000
4.954 2.790 0.000
-3.820 0.000 9.097
Ni H F
4 6 12
Cartesian
0.345 1.419 9.075 Ni
3.832 1.419 4.571 Ni
2.255 -1.419 4.526 Ni
5.742 -1.419 0.022 Ni
-1.258 0.477 6.884 H
0.652 -0.477 2.335 H
2.088 0.287 6.823 H
3.999 -0.287 2.274 H
5.435 0.477 6.762 H
7.345 -0.477 2.213 H
-1.295 0.348 5.697 F
-1.254 0.621 7.977 F
0.615 -0.348 1.148 F
0.656 -0.621 3.428 F
2.342 0.276 5.706 F
1.835 0.276 7.940 F
4.252 -0.276 1.158 F
3.745 -0.276 3.391 F
5.431 0.621 5.669 F
5.472 0.348 7.949 F
7.341 -0.621 1.120 F
7.382 -0.348 3.400 F
```

Output
D(E_F), states/eV per atom: 0.538

=====

Below is crystalline Ni2H2F7 at its relaxed geometry, with properties calculated at the PBE+U level.

Cell and atoms, written as POSCAR:
```
Ni2H2F7
1.0
2.712 -4.607 0.000
2.712 4.607 0.000
-0.877 0.000 5.243
Ni H F
2 2 7
Cartesian
2.712 2.940 0.000 Ni
2.712 -2.940 0.000 Ni
1.442 0.000 1.871 H
3.106 0.000 3.372 H
0.766 1.763 4.163 F
0.619 0.000 1.069 F
0.766 -1.763 4.163 F
2.274 0.000 2.621 F
3.781 1.763 1.080 F
3.929 0.000 4.174 F
3.781 -1.763 1.080 F
```

Output
D(E_F), states/eV per atom: 0.389

=====

Below is crystalline NiHF3 at its relaxed geometry, with properties calculated at the PBE+U level.

Cell and atoms, written as POSCAR:
```
NiHF3
1.0
3.405 0.000 0.000
0.000 3.405 0.000
0.000 0.000 3.405
Ni H F
1 1 3
Cartesian
0.000 0.000 0.000 Ni
1.703 1.703 1.703 H
0.000 1.703 1.703 F
1.703 0.000 1.703 F
1.703 1.703 0.000 F
```

Output
D(E_F), states/eV per atom: 0.692
Energy relative to the lowest polymorph listed for this composition, meV/atom: 908.6

=====

Below is crystalline NiHF at its relaxed geometry, with properties calculated at the PBE+U level.

Cell and atoms, written as POSCAR:
```
NiHF
1.0
8.921 0.000 0.000
0.000 2.890 0.000
0.000 0.000 4.868
Ni H F
4 4 4
Cartesian
1.041 0.723 0.376 Ni
3.420 2.168 2.810 Ni
5.501 0.723 2.058 Ni
7.880 2.168 4.492 Ni
0.101 2.168 1.032 H
4.359 0.723 3.466 H
4.562 2.168 1.402 H
8.819 0.723 3.836 H
2.213 0.723 2.043 F
2.248 2.168 4.477 F
6.673 0.723 0.391 F
6.708 2.168 2.825 F
```

Output
D(E_F), states/eV per atom: 0.000
Energy relative to the lowest polymorph listed for this composition, meV/atom: 0.0

=====

Below is crystalline NiHF at its relaxed geometry, with properties calculated at the PBE+U level.

Cell and atoms, written as POSCAR:
```
NiHF
1.0
2.893 0.000 0.000
1.330 2.570 0.000
1.080 -0.189 7.148
Ni H F
2 2 2
Cartesian
0.000 0.000 0.000 Ni
2.541 0.694 5.227 Ni
2.940 2.407 2.607 H
3.834 1.668 6.192 H
1.466 0.241 1.546 F
3.143 2.045 3.676 F
```

Output
D(E_F), states/eV per atom: 0.000
Energy relative to the lowest polymorph listed for this composition, meV/atom: 69.2

=====

Below is crystalline NiHF3 at its relaxed geometry, with properties calculated at the PBE+U level.

Cell and atoms, written as POSCAR:
```
NiHF3
1.0
1.295 -6.598 0.000
1.295 6.598 0.000
0.000 0.000 5.597
Ni H F
2 2 6
Cartesian
1.295 4.211 4.198 Ni
1.295 -4.211 1.399 Ni
1.295 0.204 4.198 H
1.295 -0.204 1.399 H
1.295 6.566 4.198 F
1.295 2.167 2.836 F
1.295 2.167 5.560 F
1.295 -2.167 0.037 F
1.295 -2.167 2.761 F
1.295 -6.566 1.399 F
```

Output
D(E_F), states/eV per atom: 0.000
Energy relative to the lowest polymorph listed for this composition, meV/atom: 0.0

=====

Below is crystalline Ni2HF at its relaxed geometry, with properties calculated at the PBE+U level.

Cell and atoms, written as POSCAR:
```
Ni2HF
1.0
-2.254 2.254 4.037
2.254 -2.254 4.037
2.254 2.254 -4.037
Ni H F
4 2 2
Cartesian
3.381 0.769 -1.009 Ni
0.769 1.127 1.009 Ni
-1.127 1.485 3.028 Ni
1.485 1.127 5.046 Ni
0.000 0.000 0.000 H
0.000 2.254 2.018 H
2.254 0.000 2.018 F
0.000 0.000 4.037 F
```

Output
D(E_F), states/eV per atom: 0.000
Energy relative to the lowest polymorph listed for this composition, meV/atom: 0.0

=====

Below is crystalline NiHF at its relaxed geometry, with properties calculated at the PBE+U level.

Cell and atoms, written as POSCAR:
```
NiHF
1.0
4.401 -1.432 0.000
4.401 1.432 0.000
-1.931 0.000 4.547
Ni H F
2 2 2
Cartesian
1.770 0.000 0.996 Ni
5.101 0.000 3.551 Ni
-0.316 0.000 3.986 H
7.188 0.000 0.560 H
2.102 0.000 2.996 F
4.769 0.000 1.550 F
```

Output
D(E_F), states/eV per atom: 0.064
Energy relative to the lowest polymorph listed for this composition, meV/atom: 174.7

=====

Below is crystalline NiHOF at its relaxed geometry, with properties calculated at the PBE+U level.

Cell and atoms, written as POSCAR:
```
NiHOF
1.0
2.699 -1.559 0.000
2.699 1.559 0.000
-1.854 0.000 4.733
Ni H O F
1 1 1 1
Cartesian
0.000 0.000 0.000 Ni
1.790 0.000 1.891 H
1.800 0.000 0.905 O
1.745 0.000 3.595 F
```

Output
D(E_F), states/eV per atom: 0.000

=====

Below is crystalline Ni2HPbF at its relaxed geometry, with properties calculated at the PBE+U level.

Cell and atoms, written as POSCAR:
```
Ni2HPbF
1.0
3.695 0.000 0.000
0.000 3.695 0.000
0.000 0.000 5.535
Ni H Pb F
2 1 1 1
Cartesian
0.000 1.847 0.000 Ni
1.847 0.000 0.000 Ni
0.000 0.000 0.000 H
0.000 0.000 2.767 Pb
1.847 1.847 2.767 F
```

Output
D(E_F), states/eV per atom: 0.281

=====

Below is crystalline Rb2NiH2F6 at its relaxed geometry, with properties calculated at the PBE+U level.

Cell and atoms, written as POSCAR:
```
Rb2NiH2F6
1.0
4.700 -2.934 0.000
4.700 2.934 0.000
-3.800 0.000 5.486
Rb Ni H F
2 1 2 6
Cartesian
1.471 0.000 1.067 Rb
4.130 0.000 4.419 Rb
-1.900 0.000 2.743 Ni
0.744 0.000 4.045 H
4.856 0.000 1.441 H
1.875 1.531 3.801 F
3.725 1.531 1.685 F
-0.212 0.000 4.251 F
5.812 0.000 1.236 F
1.875 -1.531 3.801 F
3.725 -1.531 1.685 F
```

Output
D(E_F), states/eV per atom: 0.000

=====

Below is crystalline ReNiHF2 at its relaxed geometry, with properties calculated at the PBE+U level.

Cell and atoms, written as POSCAR:
```
ReNiHF2
1.0
3.583 0.000 0.000
0.000 3.583 0.000
0.000 0.000 5.394
Re Ni H F
1 1 1 2
Cartesian
0.000 0.000 0.000 Re
0.000 0.000 2.697 Ni
1.791 1.791 0.000 H
0.000 1.791 2.697 F
1.791 0.000 2.697 F
```

Output
D(E_F), states/eV per atom: 0.265

=====

Below is crystalline SrNiH2F8 at its relaxed geometry, with properties calculated at the PBE+U level.

Cell and atoms, written as POSCAR:
```
SrNiH2F8
1.0
4.992 0.000 0.000
2.102 4.534 0.000
1.155 0.718 6.744
Sr Ni H F
1 1 2 8
Cartesian
0.000 0.000 0.000 Sr
0.578 0.359 3.372 Ni
2.198 1.398 1.602 H
6.052 3.854 5.142 H
2.051 1.301 2.939 F
3.102 3.699 2.093 F
3.587 4.002 4.646 F
2.212 1.409 0.569 F
6.037 3.843 6.175 F
4.662 1.250 2.098 F
5.148 1.553 4.651 F
6.199 3.951 3.805 F
```

Output
D(E_F), states/eV per atom: 0.000

=====

Below is crystalline TcNiH2F at its relaxed geometry, with properties calculated at the PBE+U level.

Cell and atoms, written as POSCAR:
```
TcNiH2F
1.0
3.464 0.000 0.000
0.000 3.464 0.000
0.000 0.000 4.215
Tc Ni H F
1 1 2 1
Cartesian
0.000 0.000 0.000 Tc
1.732 1.732 2.108 Ni
0.000 1.732 2.108 H
1.732 0.000 2.108 H
1.732 1.732 0.000 F
```

Output
D(E_F), states/eV per atom: 0.790

=====

Computed VASP energy, in the same sequence as the records: -16.11, -9.89, -10.17, -9.96, -10.03, -9.59, -44.16, -43.30, -14.72, -10.25, -10.04, -19.26, -11.62, -9.73, -18.92, -13.45, -45.90, -20.31, -50.65, -18.68 eV per formula unit.